(1)
{
  "formula": "Li2CoBr6",
  "functional": "PBE-GGA",
  "state": "relaxed",
  "formation_energy_uncorrected_ev_per_atom": -0.733,
  "lattice_angstrom": [[6.508, 0.000, 0.456], [0.000, 7.167, 0.000], [-0.141, 0.000, 9.986]],
  "species": ["Br", "Br", "Br", "Br", "Br", "Br", "Br", "Br", "Br", "Br", "Br", "Br", "Li", "Li", "Li", "Li", "Co", "Co"],
  "frac_coords": [[0.305, 0.830, 0.424], [0.873, 0.978, 0.273], [0.833, 0.714, 0.557], [0.667, 0.214, 0.943], [0.195, 0.330, 0.076], [0.695, 0.170, 0.576], [0.627, 0.478, 0.227], [0.373, 0.522, 0.773], [0.805, 0.670, 0.924], [0.127, 0.022, 0.727], [0.333, 0.786, 0.057], [0.167, 0.286, 0.443], [0.481, 0.858, 0.655], [0.019, 0.358, 0.845], [0.519, 0.142, 0.345], [0.981, 0.642, 0.155], [0.500, 0.500, 0.000], [0.000, 0.000, 0.500]]
}



(2)
{
  "formula": "CdSiMo2",
  "functional": "PBE-GGA",
  "state": "relaxed",
  "de_polymorph_mev_per_atom": 230,
  "formation_energy_uncorrected_ev_per_atom": 0.364,
  "lattice_angstrom": [[-3.810, 2.472, -2.146], [-4.658, 1.826, 0.446], [0.892, 4.593, 1.438]],
  "species": ["Mo", "Mo", "Si", "Cd"],
  "frac_coords": [[0.006, 0.006, 0.006], [0.756, 0.756, 0.732], [0.490, 0.490, 0.524], [0.248, 0.248, 0.238]]
}



(3)
{
  "formula": "Cs2LiAlH6",
  "functional": "PBE-GGA",
  "state": "relaxed",
  "lattice_angstrom": [[-4.608, 0.801, -3.946], [3.429, -2.889, -4.590], [-2.997, -6.895, 2.101]],
  "species": ["H", "H", "H", "H", "H", "H", "H", "H", "H", "H", "H", "H", "Cs", "Cs", "Cs", "Cs", "Al", "Al", "Li", "Li"],
  "frac_coords": [[0.000, 0.714, 0.239], [0.302, 0.087, 0.500], [0.500, 0.286, 0.261], [0.500, 0.286, 0.739], [0.000, 0.714, 0.761], [0.802, 0.913, 0.000], [0.286, 0.475, 0.500], [0.214, 0.525, 0.000], [0.698, 0.087, 0.500], [0.714, 0.475, 0.500], [0.198, 0.913, 0.000], [0.786, 0.525, 0.000], [0.500, 0.782, 0.742], [0.500, 0.782, 0.258], [0.000, 0.218, 0.758], [0.000, 0.218, 0.242], [0.500, 0.279, 0.500], [0.000, 0.721, 0.000], [0.000, 0.637, 0.500], [0.500, 0.363, 0.000]]
}



Asked for electronic total energy across the records above, the calculation gives -3.063 -6.636 -2.984 eV/atom in order.
Asked for magnetization across the records above, the calculation gives 1.1 0.0 0.0 μB per formula unit in order.